A plane-wave DFT calculation with PBE+U was carried out for crystalline Ga2CoMoO6 at its relaxed geometry.

Values from the calculation:
Space group: No. 15
E in eV/atom: -6.4141

Cell: 5.3337 6.7164 6.7164 Å, 86.07 82.76 82.76°
Last column: magnetic moment on the atom in μB.
Fractional coordinates of all 20 atoms:
O (0.3937, 0.8533, 0.3686)  0.05
Ga (0.3075, 0.4007, 0.2154)  0.02
O (0.6252, 0.4460, 0.2872)  0.01
Ga (0.6925, 0.5993, 0.7846)  0.02
O (0.3748, 0.5540, 0.7128)  0.01
O (0.8721, 0.0225, 0.2063)  0.07
Mo (0.2500, 0.2634, 0.7366)  1.88
O (0.6063, 0.1467, 0.6314)  0.05
O (0.1279, 0.9775, 0.7937)  0.07
Mo (0.7500, 0.7366, 0.2634)  1.88
Ga (0.1925, 0.7846, 0.5993)  0.02
O (0.3721, 0.2063, 0.0225)  0.07
O (0.8937, 0.3686, 0.8533)  0.05
Co (0.7500, 0.0906, 0.9094)  2.73
O (0.8748, 0.7128, 0.5540)  0.01
Ga (0.8075, 0.2154, 0.4007)  0.02
Co (0.2500, 0.9094, 0.0906)  2.73
O (0.6279, 0.7937, 0.9775)  0.07
O (0.1252, 0.2872, 0.4460)  0.01
O (0.1063, 0.6314, 0.1467)  0.05